# 1
VASP calculation (PBE) on a relaxed structure of LiLaSm2. Values from VASP.

```
&SYSTEM
  ibrav = 0, nat = 4, ntyp = 3
/
ATOMIC_SPECIES
Sm 150.36 Sm.upf
Li 6.94 Li.upf
La 138.91 La.upf
CELL_PARAMETERS angstrom
3.546 0.000 0.000
1.773 3.071 0.000
1.773 1.024 12.447
ATOMIC_POSITIONS angstrom
Sm 1.773 1.024 9.160
Sm 5.319 3.071 3.286
Li 0.000 0.000 0.000
La 3.546 2.047 6.223
```

Results
Relative energy among the computed polymorphs ... 116 meV per atom
Space group ... R-3m, No. 166
VASP energy ... -15.5 eV/cell
DOS at the Fermi energy ... 5.269 states/eV/cell



# 2
VASP calculation (PBE) on a relaxed structure of K3C. Values from VASP.

```
&SYSTEM
  ibrav = 0, nat = 4, ntyp = 2
/
ATOMIC_SPECIES
K 39.10 K.upf
C 12.01 C.upf
CELL_PARAMETERS angstrom
8.958 0.000 0.000
6.573 6.086 0.000
-7.428 -3.903 3.135
ATOMIC_POSITIONS angstrom
K 5.587 2.189 0.000
K 9.944 3.897 0.000
K -0.428 1.091 1.567
C 0.765 -1.952 1.567
```

Results
Relative energy among the computed polymorphs ... 62 meV per atom
Space group ... Immm, No. 71
VASP energy ... -8.1 eV/cell
DOS at the Fermi energy ... 2.244 states/eV/cell



# 3
VASP calculation (PBE) on a relaxed structure of PmNd4Th3Se8. Values from VASP.

```
&SYSTEM
  ibrav = 0, nat = 16, ntyp = 4
/
ATOMIC_SPECIES
Se 78.96 Se.upf
Nd 144.24 Nd.upf
Th 232.04 Th.upf
Pm 145.00 Pm.upf
CELL_PARAMETERS angstrom
8.385 0.000 0.000
0.000 8.472 0.055
-4.192 -4.189 5.931
ATOMIC_POSITIONS angstrom
Se 6.296 2.126 0.014
Se -2.103 2.157 5.972
Se 0.000 0.017 2.975
Se 2.089 2.126 0.014
Se 0.000 4.259 2.996
Se 4.192 0.024 2.990
Se 4.192 4.266 3.012
Se 2.103 2.157 5.972
Nd 2.096 -2.094 2.966
Nd -2.096 -2.094 2.966
Nd 0.000 0.000 0.000
Nd 4.192 0.000 0.000
Th -2.096 2.142 2.993
Th 4.192 4.236 0.028
Th 2.096 2.142 2.993
Pm 0.000 4.236 0.028
```

Results
Space group ... R-3m, No. 166
Energy relative to the elements, uncorrected ... -1.721 eV/atom
VASP energy ... -101.5 eV/cell
DOS at the Fermi energy ... 8.414 states/eV/cell



# 4
VASP calculation (PBE) on a relaxed structure of CdPb2Br2. Values from VASP.

```
&SYSTEM
  ibrav = 0, nat = 10, ntyp = 3
/
ATOMIC_SPECIES
Br 79.90 Br.upf
Pb 207.20 Pb.upf
Cd 112.41 Cd.upf
CELL_PARAMETERS angstrom
9.356 0.000 0.000
0.000 9.356 0.000
0.000 0.000 3.576
ATOMIC_POSITIONS angstrom
Br 3.493 8.171 0.000
Br 1.185 3.493 0.000
Br 5.863 1.185 0.000
Br 8.171 5.863 0.000
Pb 7.631 2.953 1.788
Pb 1.725 6.403 1.788
Pb 2.953 1.725 1.788
Pb 6.403 7.631 1.788
Cd 4.678 4.678 0.000
Cd 0.000 0.000 0.000
```

Results
Relative energy among the computed polymorphs ... 151 meV per atom
Space group ... P4/mbm, No. 127
Energy relative to the elements, uncorrected ... -0.156 eV/atom
VASP energy ... -24.9 eV/cell
DOS at the Fermi energy ... 5.828 states/eV/cell